Entry from the Alexandria database: a geometry-optimized RbCrPbF6 structure (PBE+U).

The structure in CIF format:
```
data_RbCrPbF6
_cell_length_a 5.887
_cell_length_b 5.885
_cell_length_c 5.154
_cell_angle_alpha 89.99
_cell_angle_beta 89.97
_cell_angle_gamma 59.98
_symmetry_space_group_name_H-M 'P 1'
_symmetry_Int_Tables_number 1
_symmetry_space_group_name_Hall 'P 1'
loop_
_atom_site_label
_atom_site_fract_x
_atom_site_fract_y
_atom_site_fract_z
F1 0.643 0.243 0.677
F2 0.009 0.451 0.270
F3 0.451 0.540 0.270
F4 0.114 0.643 0.677
F5 0.243 0.114 0.677
F6 0.540 0.009 0.270
Cr1 0.333 0.333 0.472
Pb1 0.667 0.667 0.592
Rb1 0.000 0.000 0.094
```

For the total DFT energy (no corrections), the calculation gives -47.4 eV for the cell shown. The value obtained for the calculated density is 4.9 Mg/m³. As for the symmetry: No. 143.